(1)
Material: Sr2TcPb
Method: DFT, GGA-PBE
State: optimized geometry

The formation energy is 0.269 eV/atom. The calculation puts the volume at 131.3 Å³ per cell. For the total magnetization, the calculation gives 0.873 Bohr magnetons per cell. As for the mass density: 6.1 g/cm³.

a b c (Å): 4.598 6.461 6.461
angles (deg): 43.17 90.00 90.00
Fractional positions:
Sr: 0.000 0.000 0.000
Sr: 0.500 0.287 0.287
Tc: 0.000 0.703 0.703
Pb: 0.500 0.581 0.581

(2)
Material: TmTiSnPd
Method: DFT, GGA-PBE
State: optimized geometry

The formation energy is -0.487 eV/atom. The calculation puts the volume at 82.3 Å³ per cell. For the total magnetization, the calculation gives 1.421 Bohr magnetons per cell. As for the mass density: 8.9 g/cm³.

a b c (Å): 4.883 4.883 4.883
angles (deg): 60.00 60.00 60.00
Fractional positions:
Tm: 0.000 0.000 0.000
Ti: 0.500 0.500 0.500
Sn: 0.250 0.250 0.250
Pd: 0.750 0.750 0.750

Question: Which value of volume does entry 1 give?
Answer: 131.3 Å³ per cell